(1)
! Zr2AuSe2 | Alexandria | GGA-PBE | optimized geometry; values from VASP
&SYSTEM
  ibrav = 0, nat = 10, ntyp = 3
/
ATOMIC_SPECIES
Au 196.97 Au.upf
Se 78.96 Se.upf
Zr 91.22 Zr.upf
ATOMIC_POSITIONS crystal
Au 0.000 0.000 0.000
Au 0.500 0.500 0.000
Se 0.361 0.861 0.000
Se 0.861 0.639 0.000
Se 0.639 0.139 0.000
Se 0.139 0.361 0.000
Zr 0.153 0.653 0.500
Zr 0.653 0.847 0.500
Zr 0.847 0.347 0.500
Zr 0.347 0.153 0.500
CELL_PARAMETERS angstrom
7.725 0.000 0.000
0.000 7.725 0.000
0.000 0.000 3.340
! E above lowest polymorph, eV per atom: 0.1590
! Calculated density, Mg/m³: 8.95
! M_tot, μB per formula unit: 0.00
! Symmetry: No. 127
! Formation energy without anion corrections, meV per atom: -754


(2)
! TaNb2B2Os5 | Alexandria | GGA-PBE | optimized geometry; values from VASP
&SYSTEM
  ibrav = 0, nat = 20, ntyp = 4
/
ATOMIC_SPECIES
Ta 180.95 Ta.upf
Nb 92.91 Nb.upf
B 10.81 B.upf
Os 190.23 Os.upf
ATOMIC_POSITIONS crystal
Ta 0.000 0.000 0.000
Ta 0.000 0.500 0.500
Nb 0.000 0.677 0.177
Nb 0.000 0.323 0.823
Nb 0.000 0.177 0.323
Nb 0.000 0.823 0.677
B 0.000 0.121 0.621
B 0.000 0.879 0.379
B 0.000 0.621 0.879
B 0.000 0.379 0.121
Os 0.500 0.219 0.071
Os 0.500 0.781 0.929
Os 0.500 0.071 0.781
Os 0.500 0.719 0.429
Os 0.500 0.929 0.219
Os 0.500 0.281 0.571
Os 0.500 0.571 0.719
Os 0.500 0.429 0.281
Os 0.500 0.500 0.000
Os 0.500 0.000 0.500
CELL_PARAMETERS angstrom
3.022 0.000 0.000
0.000 9.568 0.000
0.000 0.000 9.568
! Calculated density, Mg/m³: 16.08
! M_tot, μB per formula unit: 0.00
! Symmetry: No. 127
! E_tot, eV/f.u.: -105.418